Entry a
The following is a DFT calculation (PBE) of a relaxed structure of RbP2Ru.

```
data_RbP2Ru
_space_group_name_H-M_alt 'P 1'
_space_group_IT_number 1
_cell_length_a 4.653
_cell_length_b 4.653
_cell_length_c 4.653
_cell_angle_alpha 60.00
_cell_angle_beta 60.00
_cell_angle_gamma 60.00
loop_
_space_group_symop_operation_xyz
'x,y,z'
loop_
_atom_site_label
_atom_site_type_symbol
_atom_site_fract_x
_atom_site_fract_y
_atom_site_fract_z
Ru1 Ru 0.500 0.500 0.500
Rb1 Rb 0.000 0.000 0.000
P1 P 0.250 0.250 0.250
P2 P 0.750 0.750 0.750
```

Calculated values
crystal system = cubic
size of the total moment = 0.000 μB/f.u.

=====

Entry b
The following is a DFT calculation (PBE) of a relaxed structure of RbP2Ru.

```
data_RbP2Ru
_space_group_name_H-M_alt 'P 1'
_space_group_IT_number 1
_cell_length_a 6.902
_cell_length_b 6.902
_cell_length_c 6.888
_cell_angle_alpha 59.93
_cell_angle_beta 59.93
_cell_angle_gamma 90.00
loop_
_space_group_symop_operation_xyz
'x,y,z'
loop_
_atom_site_label
_atom_site_type_symbol
_atom_site_fract_x
_atom_site_fract_y
_atom_site_fract_z
Ru1 Ru 0.000 0.000 0.000
Ru2 Ru 0.750 0.250 0.500
Rb1 Rb 0.500 0.500 0.000
Rb2 Rb 0.250 0.750 0.500
P1 P 0.778 0.125 0.250
P2 P 0.972 0.625 0.250
P3 P 0.375 0.222 0.750
P4 P 0.875 0.028 0.750
```

Calculated values
crystal system = tetragonal
size of the total moment = 0.000 μB/f.u.

=====

Least stable: entry a

=====

Entry a
The following is a DFT calculation (PBE) of a relaxed structure of RbPRu3.

```
data_RbPRu3
_space_group_name_H-M_alt 'P 1'
_space_group_IT_number 1
_cell_length_a 4.784
_cell_length_b 4.784
_cell_length_c 4.784
_cell_angle_alpha 90.00
_cell_angle_beta 90.00
_cell_angle_gamma 90.00
loop_
_space_group_symop_operation_xyz
'x,y,z'
loop_
_atom_site_label
_atom_site_type_symbol
_atom_site_fract_x
_atom_site_fract_y
_atom_site_fract_z
Ru1 Ru 0.000 0.500 0.000
Ru2 Ru 0.000 0.000 0.500
Ru3 Ru 0.500 0.000 0.000
Rb1 Rb 0.000 0.000 0.000
P1 P 0.500 0.500 0.500
```

Calculated values
crystal system = cubic
size of the total moment = 4.451 μB/f.u.

=====

Entry b
The following is a DFT calculation (PBE) of a relaxed structure of RbPRu3.

```
data_RbPRu3
_space_group_name_H-M_alt 'P 1'
_space_group_IT_number 1
_cell_length_a 4.557
_cell_length_b 4.557
_cell_length_c 4.557
_cell_angle_alpha 90.00
_cell_angle_beta 90.00
_cell_angle_gamma 90.00
loop_
_space_group_symop_operation_xyz
'x,y,z'
loop_
_atom_site_label
_atom_site_type_symbol
_atom_site_fract_x
_atom_site_fract_y
_atom_site_fract_z
Ru1 Ru 0.000 0.500 0.000
Ru2 Ru 0.000 0.000 0.500
Ru3 Ru 0.500 0.000 0.000
Rb1 Rb 0.500 0.500 0.500
P1 P 0.000 0.000 0.000
```

Calculated values
crystal system = cubic
size of the total moment = 1.514 μB/f.u.

=====

Least stable: entry a

=====

Entry a
The following is a DFT calculation (PBE) of a relaxed structure of RbP2RuS.

```
data_RbP2RuS
_space_group_name_H-M_alt 'P 1'
_space_group_IT_number 1
_cell_length_a 5.161
_cell_length_b 5.161
_cell_length_c 5.192
_cell_angle_alpha 90.00
_cell_angle_beta 90.00
_cell_angle_gamma 90.00
loop_
_space_group_symop_operation_xyz
'x,y,z'
loop_
_atom_site_label
_atom_site_type_symbol
_atom_site_fract_x
_atom_site_fract_y
_atom_site_fract_z
Ru1 Ru 0.500 0.500 0.500
S1 S 0.000 0.000 0.500
Rb1 Rb 0.000 0.000 0.000
P1 P 0.000 0.500 0.000
P2 P 0.500 0.000 0.000
```

Calculated values
crystal system = tetragonal
size of the total moment = 0.303 μB/f.u.

=====

Entry b
The following is a DFT calculation (PBE) of a relaxed structure of RbP2RuS.

```
data_RbP2RuS
_space_group_name_H-M_alt 'P 1'
_space_group_IT_number 1
_cell_length_a 4.537
_cell_length_b 4.537
_cell_length_c 5.567
_cell_angle_alpha 90.00
_cell_angle_beta 90.00
_cell_angle_gamma 90.00
loop_
_space_group_symop_operation_xyz
'x,y,z'
loop_
_atom_site_label
_atom_site_type_symbol
_atom_site_fract_x
_atom_site_fract_y
_atom_site_fract_z
Ru1 Ru 0.000 0.000 0.000
S1 S 0.000 0.000 0.500
Rb1 Rb 0.500 0.500 0.500
P1 P 0.000 0.500 0.000
P2 P 0.500 0.000 0.000
```

Calculated values
crystal system = tetragonal
size of the total moment = 0.000 μB/f.u.

=====

Least stable: entry a

=====

Entry a
The following is a DFT calculation (PBE) of a relaxed structure of RbP3S.

```
data_RbP3S
_space_group_name_H-M_alt 'P 1'
_space_group_IT_number 1
_cell_length_a 4.829
_cell_length_b 4.829
_cell_length_c 4.829
_cell_angle_alpha 90.00
_cell_angle_beta 90.00
_cell_angle_gamma 90.00
loop_
_space_group_symop_operation_xyz
'x,y,z'
loop_
_atom_site_label
_atom_site_type_symbol
_atom_site_fract_x
_atom_site_fract_y
_atom_site_fract_z
P1 P 0.000 0.500 0.000
P2 P 0.000 0.000 0.500
P3 P 0.500 0.000 0.000
S1 S 0.000 0.000 0.000
Rb1 Rb 0.500 0.500 0.500
```

Calculated values
crystal system = cubic
size of the total moment = 0.001 μB/f.u.

=====

Entry b
The following is a DFT calculation (PBE) of a relaxed structure of RbP3S.

```
data_RbP3S
_space_group_name_H-M_alt 'P 1'
_space_group_IT_number 1
_cell_length_a 6.944
_cell_length_b 6.944
_cell_length_c 6.944
_cell_angle_alpha 90.00
_cell_angle_beta 90.00
_cell_angle_gamma 90.00
loop_
_space_group_symop_operation_xyz
'x,y,z'
loop_
_atom_site_label
_atom_site_type_symbol
_atom_site_fract_x
_atom_site_fract_y
_atom_site_fract_z
P1 P 0.000 0.500 0.000
P2 P 0.000 0.000 0.500
P3 P 0.500 0.000 0.000
S1 S 0.500 0.500 0.500
Rb1 Rb 0.000 0.000 0.000
```

Calculated values
crystal system = cubic
size of the total moment = 10.000 μB/f.u.

=====

Least stable: entry b

=====

Entry a
The following is a DFT calculation (PBE) of a relaxed structure of Rb2PS3.

```
data_Rb2PS3
_space_group_name_H-M_alt 'P 1'
_space_group_IT_number 1
_cell_length_a 8.888
_cell_length_b 12.561
_cell_length_c 13.986
_cell_angle_alpha 90.00
_cell_angle_beta 92.37
_cell_angle_gamma 90.00
loop_
_space_group_symop_operation_xyz
'x,y,z'
loop_
_atom_site_label
_atom_site_type_symbol
_atom_site_fract_x
_atom_site_fract_y
_atom_site_fract_z
Rb1 Rb 0.214 0.731 0.917
Rb2 Rb 0.286 0.231 0.083
Rb3 Rb 0.786 0.269 0.083
Rb4 Rb 0.714 0.769 0.917
Rb5 Rb 0.831 0.441 0.819
Rb6 Rb 0.669 0.941 0.181
Rb7 Rb 0.169 0.559 0.181
Rb8 Rb 0.331 0.059 0.819
Rb9 Rb 0.631 0.307 0.437
Rb10 Rb 0.869 0.807 0.563
Rb11 Rb 0.369 0.693 0.563
Rb12 Rb 0.131 0.193 0.437
Rb13 Rb 0.779 0.117 0.706
Rb14 Rb 0.721 0.617 0.294
Rb15 Rb 0.221 0.883 0.294
Rb16 Rb 0.279 0.383 0.706
P1 P 0.930 0.497 0.567
P2 P 0.570 0.997 0.433
P3 P 0.070 0.503 0.433
P4 P 0.430 0.003 0.567
P5 P 0.938 0.031 0.931
P6 P 0.562 0.531 0.069
P7 P 0.062 0.969 0.069
P8 P 0.438 0.469 0.931
S1 S 0.520 0.320 0.906
S2 S 0.980 0.820 0.094
S3 S 0.480 0.680 0.094
S4 S 0.020 0.180 0.906
S5 S 0.714 0.034 0.956
S6 S 0.786 0.534 0.044
S7 S 0.286 0.966 0.044
S8 S 0.214 0.466 0.956
S9 S 0.490 0.574 0.825
S10 S 0.010 0.074 0.175
S11 S 0.510 0.426 0.175
S12 S 0.990 0.926 0.825
S13 S 0.960 0.410 0.332
S14 S 0.540 0.910 0.668
S15 S 0.040 0.590 0.668
S16 S 0.460 0.090 0.332
S17 S 0.780 0.051 0.468
S18 S 0.720 0.551 0.532
S19 S 0.220 0.949 0.532
S20 S 0.280 0.449 0.468
S21 S 0.930 0.340 0.606
S22 S 0.570 0.840 0.394
S23 S 0.070 0.660 0.394
S24 S 0.430 0.160 0.606
```

Calculated values
crystal system = monoclinic
size of the total moment = 0.000 μB/f.u.

=====

Entry b
The following is a DFT calculation (PBE) of a relaxed structure of Rb2PS3.

```
data_Rb2PS3
_space_group_name_H-M_alt 'P 1'
_space_group_IT_number 1
_cell_length_a 7.213
_cell_length_b 7.668
_cell_length_c 16.613
_cell_angle_alpha 84.23
_cell_angle_beta 78.95
_cell_angle_gamma 58.66
loop_
_space_group_symop_operation_xyz
'x,y,z'
loop_
_atom_site_label
_atom_site_type_symbol
_atom_site_fract_x
_atom_site_fract_y
_atom_site_fract_z
Rb1 Rb 0.604 0.366 0.332
Rb2 Rb 0.066 0.367 0.153
Rb3 Rb 0.396 0.634 0.668
Rb4 Rb 0.934 0.633 0.847
Rb5 Rb 0.334 0.779 0.069
Rb6 Rb 0.908 0.781 0.436
Rb7 Rb 0.666 0.221 0.931
Rb8 Rb 0.092 0.219 0.564
P1 P 0.779 0.980 0.152
P2 P 0.318 0.990 0.336
P3 P 0.221 0.020 0.848
P4 P 0.682 0.010 0.664
S1 S 0.653 0.885 0.274
S2 S 0.347 0.115 0.726
S3 S 0.581 0.293 0.136
S4 S 0.160 0.296 0.358
S5 S 0.419 0.707 0.864
S6 S 0.840 0.704 0.642
S7 S 0.617 0.188 0.561
S8 S 0.222 0.179 0.942
S9 S 0.383 0.812 0.439
S10 S 0.778 0.821 0.058
S11 S 0.150 0.934 0.267
S12 S 0.850 0.066 0.733
```

Calculated values
crystal system = triclinic
size of the total moment = 0.000 μB/f.u.

=====

Least stable: entry b

=====

Entry a
The following is a DFT calculation (PBE) of a relaxed structure of Rb2PS.

```
data_Rb2PS
_space_group_name_H-M_alt 'P 1'
_space_group_IT_number 1
_cell_length_a 5.755
_cell_length_b 5.755
_cell_length_c 5.755
_cell_angle_alpha 60.00
_cell_angle_beta 60.00
_cell_angle_gamma 60.00
loop_
_space_group_symop_operation_xyz
'x,y,z'
loop_
_atom_site_label
_atom_site_type_symbol
_atom_site_fract_x
_atom_site_fract_y
_atom_site_fract_z
P1 P 0.000 0.000 0.000
S1 S 0.500 0.500 0.500
Rb1 Rb 0.250 0.250 0.250
Rb2 Rb 0.750 0.750 0.750
```

Calculated values
crystal system = cubic
size of the total moment = 3.000 μB/f.u.

=====

Entry b
The following is a DFT calculation (PBE) of a relaxed structure of Rb2PS.

```
data_Rb2PS
_space_group_name_H-M_alt 'P 1'
_space_group_IT_number 1
_cell_length_a 12.493
_cell_length_b 12.493
_cell_length_c 9.134
_cell_angle_alpha 46.85
_cell_angle_beta 46.85
_cell_angle_gamma 90.00
loop_
_space_group_symop_operation_xyz
'x,y,z'
loop_
_atom_site_label
_atom_site_type_symbol
_atom_site_fract_x
_atom_site_fract_y
_atom_site_fract_z
P1 P 0.500 0.500 0.000
P2 P 0.250 0.750 0.500
S1 S 0.000 0.000 0.000
S2 S 0.750 0.250 0.500
Rb1 Rb 0.850 0.125 0.250
Rb2 Rb 0.900 0.625 0.250
Rb3 Rb 0.375 0.150 0.750
Rb4 Rb 0.875 0.100 0.750
```

Calculated values
crystal system = tetragonal
size of the total moment = 0.431 μB/f.u.

=====

Least stable: entry a